Entry from Alexandria: a relaxed Ho5Mo2O12 crystal (GGA+U).

Cell: 6.8529 6.8529 7.2982 Å, 105.51 105.51 51.93°
Last column: nearest neighbours and their distance in Å.
Sites, in units of the cell vectors:
Ho  0.0000  0.0000  0.0000  6 O 2.27-2.34
Ho  0.3003  0.3003  0.1374  7 O 2.29-2.42
Ho  0.3086  0.3086  0.6745  7 O 2.31-2.44
Ho  0.6914  0.6914  0.3255  7 O 2.31-2.44
Ho  0.6997  0.6997  0.8626  7 O 2.29-2.42
Mo  0.2448  0.7552  0.5000  6 O 1.97-2.08
Mo  0.7552  0.2448  0.5000  6 O 1.97-2.08
O  0.0008  0.0008  0.3119  2 Mo 2.01
O  0.0968  0.5971  0.9268  4 Ho 2.29-2.34
O  0.1019  0.5639  0.4138  1 Mo 1.97
O  0.4029  0.9032  0.0732  4 Ho 2.29-2.34
O  0.4361  0.8981  0.5862  1 Mo 1.97
O  0.4988  0.4988  0.6931  2 Mo 2.08, 1 Ho 2.31
O  0.5012  0.5012  0.3069  2 Mo 2.08, 1 Ho 2.31
O  0.5639  0.1019  0.4138  1 Mo 1.97
O  0.5971  0.0968  0.9268  4 Ho 2.29-2.34
O  0.8981  0.4361  0.5862  1 Mo 1.97
O  0.9032  0.4029  0.0732  4 Ho 2.29-2.34
O  0.9992  0.9992  0.6881  2 Mo 2.01

Calculated values
E_tot = -8.05 eV per atom
Symmetry = C2/m